(1)
DFT (PBE) results for crystalline CdBPd3 at its relaxed geometry.

Lattice parameters (Å, degrees): 4.219 4.219 4.219 90.00 90.00 90.00
Atoms (fractional coordinates):
Pd (0.000, 0.500, 0.000)
Pd (0.500, 0.000, 0.000)
Pd (0.000, 0.000, 0.500)
Cd (0.500, 0.500, 0.500)
B (0.000, 0.000, 0.000)

Calculated formation energy: -0.31 eV per atom



(2)
DFT (PBE) results for crystalline CdBPd3 at its relaxed geometry.

Lattice parameters (Å, degrees): 4.979 4.979 4.979 90.00 90.00 90.00
Atoms (fractional coordinates):
B (0.500, 0.500, 0.500)
Pd (0.000, 0.000, 0.500)
Pd (0.000, 0.500, 0.000)
Pd (0.500, 0.000, 0.000)
Cd (0.000, 0.000, 0.000)

Calculated formation energy: 1.77 eV per atom



> Among the records above, which one has the highest calculated formation energy?

number 2